Below is a relaxed structure of LaCoO3, with properties calculated at the GGA+U level.

Results
Magnetization ... 2.2 μB/f.u.
Space-group type ... R-3c, No. 167
Total DFT energy (no corrections) ... -7.205 eV per atom

abc: 5.4032 5.4032 5.4032
angles: 60.86 60.86 60.86
With the nearest neighbours (Å) after each atom.
Positions (direct):
Co 0.0000 0.0000 0.0000  6 O 1.95
Co 0.5000 0.5000 0.5000  6 O 1.95
La 0.2500 0.2500 0.2500  3 O 2.42
La 0.7500 0.7500 0.7500  3 O 2.42
O 0.3083 0.7500 0.1917  2 Co 1.95
O 0.8083 0.6917 0.2500  2 Co 1.95
O 0.7500 0.1917 0.3083  2 Co 1.95
O 0.2500 0.8083 0.6917  2 Co 1.95
O 0.1917 0.3083 0.7500  2 Co 1.95
O 0.6917 0.2500 0.8083  2 Co 1.95